1.
Below is crystalline In2RuSe at its relaxed geometry, with properties calculated at the PBE level.

- calculated volume (Å³ per cell) = 93.10
- formation energy from raw total energies (eV per atom) = -0.04
- M_tot (μB per atom) = 0.00

Lattice parameters (Å, degrees): 10.065 10.065 10.065 18.86 18.86 18.86
Atoms (fractional coordinates):
In (0.992, 0.992, 0.992)
In (0.235, 0.235, 0.235)
Ru (0.495, 0.495, 0.495)
Se (0.778, 0.778, 0.778)

***

2.
Below is crystalline Ac2ZnTcN4 at its relaxed geometry, with properties calculated at the PBE level.

- calculated volume (Å³ per cell) = 264.82
- formation energy from raw total energies (eV per atom) = -0.22
- M_tot (μB per atom) = 0.00

Lattice parameters (Å, degrees): 4.833 6.295 9.732 84.53 75.62 67.42
Atoms (fractional coordinates):
Ac (0.175, 0.000, 0.649)
Ac (0.825, 0.000, 0.351)
Ac (0.575, 0.500, 0.851)
Ac (0.925, 0.500, 0.149)
Zn (0.750, 0.500, 0.500)
Zn (0.000, 0.000, 0.000)
Tc (0.250, 0.500, 0.500)
Tc (0.500, 0.000, 0.000)
N (0.329, 0.768, 0.090)
N (0.187, 0.232, 0.910)
N (0.903, 0.768, 0.910)
N (0.581, 0.232, 0.090)
N (0.421, 0.732, 0.410)
N (0.563, 0.268, 0.590)
N (0.847, 0.732, 0.590)
N (0.169, 0.268, 0.410)

***

3.
Below is crystalline V2Cr2Re at its relaxed geometry, with properties calculated at the PBE level.

- calculated volume (Å³ per cell) = 129.82
- M_tot (μB per atom) = 0.00
- relative energy among the computed polymorphs (meV per atom) = 0

Lattice parameters (Å, degrees): 4.162 5.196 6.586 105.30 108.42 90.00
Atoms (fractional coordinates):
V (0.395, 0.346, 0.791)
V (0.395, 0.846, 0.791)
V (0.605, 0.654, 0.209)
V (0.605, 0.154, 0.209)
Cr (0.203, 0.051, 0.407)
Cr (0.797, 0.449, 0.593)
Cr (0.797, 0.949, 0.593)
Cr (0.203, 0.551, 0.407)
Re (0.000, 0.750, 0.000)
Re (0.000, 0.250, 0.000)

***

4.
Below is crystalline Li3Pu3AlSe8 at its relaxed geometry, with properties calculated at the PBE level.

- calculated volume (Å³ per cell) = 367.35
- formation energy from raw total energies (eV per atom) = -1.21
- M_tot (μB per atom) = 0.31

Lattice parameters (Å, degrees): 8.137 8.136 7.955 121.04 89.81 119.95
Each line ends with the local moment (μB).
Atoms (fractional coordinates):
Li (0.000, 0.000, 0.000)  0.01
Li (0.000, 0.500, 0.000)  -0.01
Li (0.500, 0.500, 0.000)  0.01
Pu (0.500, 0.000, 0.500)  -4.94
Pu (0.500, 0.500, 0.500)  4.93
Pu (0.000, 0.500, 0.500)  -4.94
Al (0.000, 0.000, 0.500)  0.00
Se (0.247, 0.496, 0.242)  0.05
Se (0.753, 0.504, 0.758)  0.05
Se (0.770, 0.539, 0.263)  0.00
Se (0.230, 0.461, 0.737)  0.00
Se (0.767, 0.996, 0.263)  0.11
Se (0.233, 0.004, 0.737)  0.11
Se (0.224, 0.994, 0.263)  0.00
Se (0.776, 0.006, 0.737)  0.00